1.
DFT (GGA-PBE) results for crystalline ZrAlHg2 at its relaxed geometry.

Cell lengths 4.912, 4.912, 4.912 Å; angles 60.00, 60.00, 60.00 degrees
Fractional coordinates of all 4 atoms:
Hg1 0.000 0.000 0.000
Hg2 0.250 0.250 0.250
Zr1 0.750 0.750 0.750
Al1 0.500 0.500 0.500

calculated total energy: -3.081 eV/atom
volume: 83.8 Å³/cell
energy relative to the elements: 0.142 eV/atom
space group: F-43m, No. 216
magnetic moment: 0.001 μB per atom

***

2.
DFT (GGA-PBE) results for crystalline Pr5Ho5Mg2 at its relaxed geometry.

Cell lengths 5.100, 10.479, 8.066 Å; angles 72.02, 71.57, 75.92 degrees
Fractional coordinates of all 12 atoms:
Pr1 0.920 0.744 0.416
Pr2 0.252 0.740 0.756
Pr3 0.748 0.260 0.244
Pr4 0.080 0.256 0.584
Pr5 0.000 0.000 0.000
Ho1 0.500 0.500 0.500
Ho2 0.414 0.260 0.912
Ho3 0.333 0.998 0.335
Ho4 0.667 0.002 0.665
Ho5 0.586 0.740 0.088
Mg1 0.833 0.499 0.835
Mg2 0.167 0.501 0.165

calculated total energy: -4.151 eV/atom
volume: 383.9 Å³/cell
energy relative to the elements: 0.014 eV/atom
space group: C2/m, No. 12
magnetic moment: 0.000 μB per atom

***

3.
DFT (GGA-PBE) results for crystalline ZrHgP2 at its relaxed geometry.

Cell lengths 7.273, 4.498, 3.533 Å; angles 89.96, 60.99, 128.17 degrees
Fractional coordinates of all 4 atoms:
Hg1 0.500 0.500 0.000
P1 0.000 0.000 0.000
P2 0.500 0.000 0.500
Zr1 0.000 0.500 0.500

calculated total energy: -5.124 eV/atom
volume: 71.5 Å³/cell
energy relative to the elements: -0.206 eV/atom
space group: P4/mmm, No. 123
magnetic moment: 0.000 μB per atom

***

4.
DFT (GGA-PBE) results for crystalline TbPr2Sm8 at its relaxed geometry.

Cell lengths 5.143, 8.144, 9.614 Å; angles 104.74, 105.51, 90.00 degrees
Fractional coordinates of all 11 atoms:
Tb1 0.500 0.000 0.000
Pr1 0.227 0.637 0.454
Pr2 0.773 0.363 0.546
Sm1 0.590 0.453 0.180
Sm2 0.319 0.091 0.638
Sm3 0.135 0.179 0.270
Sm4 0.045 0.728 0.090
Sm5 0.865 0.821 0.730
Sm6 0.681 0.909 0.362
Sm7 0.410 0.547 0.820
Sm8 0.955 0.272 0.910

calculated total energy: -4.707 eV/atom
volume: 374.3 Å³/cell
energy relative to the elements: 0.015 eV/atom
E above lowest polymorph: 0.000 eV/atom
space group: C2/m, No. 12
magnetic moment: 0.000 μB per atom

***

5.
DFT (GGA-PBE) results for crystalline Sc8FeTc2 at its relaxed geometry.

Cell lengths 4.636, 6.335, 8.272 Å; angles 108.97, 106.27, 90.00 degrees
Fractional coordinates of all 11 atoms:
Sc1 0.402 0.566 0.803
Sc2 0.658 0.950 0.316
Sc3 0.801 0.707 0.602
Sc4 0.978 0.212 0.957
Sc5 0.199 0.293 0.398
Sc6 0.342 0.050 0.684
Sc7 0.598 0.434 0.197
Sc8 0.022 0.788 0.043
Fe1 0.500 0.000 0.000
Tc1 0.822 0.311 0.645
Tc2 0.178 0.689 0.355

calculated total energy: -7.402 eV/atom
volume: 219.4 Å³/cell
energy relative to the elements: -0.143 eV/atom
space group: C2/m, No. 12
magnetic moment: 0.000 μB per atom

***

6.
DFT (GGA-PBE) results for crystalline Tb12Sm6Sc at its relaxed geometry.

Cell lengths 8.542, 8.542, 8.542 Å; angles 88.95, 88.95, 88.95 degrees
Fractional coordinates of all 19 atoms:
Tb1 0.778 0.537 0.439
Tb2 0.439 0.778 0.537
Tb3 0.537 0.439 0.778
Tb4 0.222 0.463 0.561
Tb5 0.561 0.222 0.463
Tb6 0.463 0.561 0.222
Tb7 0.016 0.195 0.356
Tb8 0.805 0.644 0.984
Tb9 0.644 0.984 0.805
Tb10 0.984 0.805 0.644
Tb11 0.195 0.356 0.016
Tb12 0.356 0.016 0.195
Sm1 0.740 0.907 0.302
Sm2 0.698 0.260 0.093
Sm3 0.093 0.698 0.260
Sm4 0.260 0.093 0.698
Sm5 0.302 0.740 0.907
Sm6 0.907 0.302 0.740
Sc1 0.000 0.000 0.000

calculated total energy: -4.600 eV/atom
volume: 623.1 Å³/cell
energy relative to the elements: 0.148 eV/atom
E above lowest polymorph: 0.000 eV/atom
space group: R-3, No. 148
magnetic moment: 0.000 μB per atom

***

7.
DFT (GGA-PBE) results for crystalline BeInCo3 at its relaxed geometry.

Cell lengths 3.961, 3.961, 3.961 Å; angles 90.00, 90.00, 90.00 degrees
Each line ends with the local moment (μB).
Fractional coordinates of all 5 atoms:
Be1 0.000 0.000 0.000  -0.06
Co1 0.000 0.500 0.000  0.75
Co2 0.000 0.000 0.500  0.98
Co3 0.500 0.000 0.000  0.56
In1 0.500 0.500 0.500  -0.06

calculated total energy: -5.259 eV/atom
volume: 62.1 Å³/cell
energy relative to the elements: 0.297 eV/atom
space group: Pm-3m, No. 221
magnetic moment: 0.414 μB per atom

***

8.
DFT (GGA-PBE) results for crystalline MnNiAg2W at its relaxed geometry.

Cell lengths 4.724, 4.724, 4.446 Å; angles 90.00, 90.00, 90.00 degrees
Each line ends with the local moment (μB).
Fractional coordinates of all 5 atoms:
Ni1 0.000 0.000 0.000  -0.07
Mn1 0.500 0.500 0.500  4.24
Ag1 0.000 0.500 0.000  0.00
Ag2 0.500 0.000 0.000  0.00
W1 0.000 0.000 0.500  -0.95

calculated total energy: -5.464 eV/atom
volume: 99.2 Å³/cell
energy relative to the elements: 1.258 eV/atom
space group: P4/mmm, No. 123
magnetic moment: 0.651 μB per atom

***

- Which formula does entry 5 have?
  Sc8FeTc2